[1]
## InIrW2 (PBE)

Data for a relaxed structure of InIrW2.

Lattice parameters (Å, degrees): 3.550 4.162 8.975 90.00 90.00 90.00
Space group Immm (No. 71)
Inequivalent atoms, fractional coordinates:
In1 0.000 0.000 0.000 (multiplicity 2)
Ir1 0.000 0.000 0.500 (multiplicity 2)
W1 0.000 0.500 0.247 (multiplicity 4)

The calculated density comes out at 16.90 g/cm³. The calculated formation energy comes out at 246 meV/atom.



[2]
## KBe2Zn (PBE)

Data for a relaxed structure of KBe2Zn.

Lattice parameters (Å, degrees): 9.617 2.665 6.265 90.00 104.56 90.00
Space group Cm (No. 8)
Inequivalent atoms, fractional coordinates:
K1 0.000 0.000 0.000 (multiplicity 2)
Be1 0.315 0.500 0.380 (multiplicity 2)
Be2 0.487 0.000 0.500 (multiplicity 2)
Zn1 0.191 0.000 0.574 (multiplicity 2)

The calculated density comes out at 2.62 g/cm³. The calculated formation energy comes out at 505 meV/atom.



[3]
## TiCr2InRe (PBE)

Data for a relaxed structure of TiCr2InRe.

Lattice parameters (Å, degrees): 4.619 4.619 5.128 90.00 90.00 90.00
Space group P4/mmm (No. 123)
Inequivalent atoms, fractional coordinates:
Ti1 0.000 0.000 0.000 (multiplicity 1)
Cr1 0.000 0.500 0.500 (multiplicity 2)
In1 0.500 0.500 0.000 (multiplicity 1)
Re1 0.500 0.500 0.500 (multiplicity 1)

The calculated density comes out at 6.87 g/cm³. The calculated formation energy comes out at 1269 meV/atom.



[4]
## Tb2Al7Ag12 (PBE)

Data for a relaxed structure of Tb2Al7Ag12.

Lattice parameters (Å, degrees): 11.7279 11.7279 3.2563 90.00 90.00 120.00
Space group P-3 (No. 147)
Inequivalent atoms, fractional coordinates:
Tb1 0.3333 0.6667 0.2472 (multiplicity 2)
Al1 0.0000 0.0000 0.5000 (multiplicity 1)
Al2 0.1289 0.7111 0.7471 (multiplicity 6)
Ag1 0.0789 0.4578 0.7511 (multiplicity 6)
Ag2 0.0846 0.2464 0.2453 (multiplicity 6)

The calculated density comes out at 7.71 g/cm³. The calculated formation energy comes out at -135 meV/atom.



Question: The lowest calculated density belongs to which entry?
Answer: KBe2Zn



Question: The lowest calculated density belongs to which entry?
Answer: KBe2Zn



Question: Look up the calculated density of the third one.
Answer: 6.87 g/cm³